A plane-wave DFT calculation with PBE-GGA was carried out for LiTl2Co after structural relaxation.

POSCAR file:
```
LiTl2Co
1.0
-1.981 1.981 4.823
1.981 -1.981 4.823
1.981 1.981 -4.823
Li Tl Co
1 2 1
Direct
0.000 0.000 0.000
0.250 0.750 0.500
0.500 0.500 0.000
0.750 0.250 0.500
```

calculated volume: 18.93 Å³ per atom
magnetic moment: 1.117 μB/f.u.
space group: No. 119
energy of formation: 0.287 eV/atom



A plane-wave DFT calculation with PBE-GGA was carried out for CoHg3S after structural relaxation.

POSCAR file:
```
CoHg3S
1.0
5.280 0.000 0.000
0.000 5.280 0.000
0.000 0.000 5.280
Co Hg S
1 3 1
Direct
0.000 0.000 0.000
0.000 0.500 0.500
0.500 0.000 0.500
0.500 0.500 0.000
0.500 0.500 0.500
```

calculated volume: 29.44 Å³ per atom
magnetic moment: 2.157 μB/f.u.
space group: No. 221
formation energy from raw total energies: 4.858 eV per formula unit



A plane-wave DFT calculation with PBE-GGA was carried out for Na3Zr2CoSe6 after structural relaxation.

POSCAR file:
```
Na3Zr2CoSe6
1.0
3.339 -5.787 0.000
3.339 5.787 0.000
-2.229 0.000 7.028
Na Zr Co Se
3 2 1 6
Direct
0.000 0.000 0.000
0.330 0.670 0.000
0.670 0.330 0.000
0.166 0.834 0.500
0.834 0.166 0.500
0.500 0.500 0.500
0.102 0.428 0.283
0.247 0.247 0.718
0.428 0.102 0.283
0.572 0.898 0.717
0.753 0.753 0.282
0.898 0.572 0.717
```

calculated volume: 22.63 Å³ per atom
magnetic moment: 1.982 μB/f.u.
space group: No. 12
formation energy from raw total energies: -12.836 eV per formula unit



A plane-wave DFT calculation with PBE-GGA was carried out for NbTc2BOs after structural relaxation.

POSCAR file:
```
NbTc2BOs
1.0
4.132 0.000 0.000
0.000 4.132 0.000
0.000 0.000 4.107
Nb Tc B Os
1 2 1 1
Direct
0.000 0.000 0.000
0.000 0.500 0.500
0.500 0.000 0.500
0.500 0.500 0.500
0.500 0.500 0.000
```

calculated volume: 14.02 Å³ per atom
magnetic moment: 0.000 μB/f.u.
space group: No. 123
energy of formation: -0.130 eV/atom



A plane-wave DFT calculation with PBE-GGA was carried out for Sr2CdPdPb after structural relaxation.

POSCAR file:
```
Sr2CdPdPb
1.0
5.784 0.000 0.000
0.000 5.784 0.000
0.000 0.000 5.183
Sr Cd Pd Pb
2 1 1 1
Direct
0.000 0.500 0.000
0.500 0.000 0.000
0.000 0.000 0.500
0.000 0.000 0.000
0.500 0.500 0.500
```

calculated volume: 34.68 Å³ per atom
magnetic moment: 0.000 μB/f.u.
space group: No. 123
energy of formation: -0.331 eV/atom



A plane-wave DFT calculation with PBE-GGA was carried out for La3PrTm4 after structural relaxation.

POSCAR file:
```
La3PrTm4
1.0
11.601 0.000 0.000
0.000 7.312 0.000
0.000 0.000 6.330
La Pr Tm
6 2 8
Direct
0.000 0.129 0.000
0.250 0.127 0.333
0.250 0.873 0.833
0.500 0.871 0.500
0.750 0.127 0.333
0.750 0.873 0.833
0.000 0.868 0.500
0.500 0.132 0.000
0.000 0.381 0.502
0.000 0.619 0.003
0.250 0.382 0.832
0.250 0.618 0.332
0.500 0.381 0.503
0.500 0.619 0.002
0.750 0.382 0.832
0.750 0.618 0.332
```

calculated volume: 33.56 Å³ per atom
magnetic moment: 0.000 μB/f.u.
space group: No. 31
energy of formation: 0.035 eV/atom



A plane-wave DFT calculation with PBE-GGA was carried out for Tb4PuRh5 after structural relaxation.

POSCAR file:
```
Tb4PuRh5
1.0
3.417 0.000 0.000
0.000 3.417 0.000
0.000 0.000 17.448
Tb Pu Rh
4 1 5
Direct
0.000 0.000 0.100
0.000 0.000 0.300
0.000 0.000 0.700
0.000 0.000 0.900
0.000 0.000 0.500
0.500 0.500 0.000
0.500 0.500 0.200
0.500 0.500 0.400
0.500 0.500 0.600
0.500 0.500 0.800
```

calculated volume: 20.37 Å³ per atom
magnetic moment: 4.769 μB/f.u.
space group: No. 123
energy of formation: -0.739 eV/atom



A plane-wave DFT calculation with PBE-GGA was carried out for Cs3Li2AcI9 after structural relaxation.

POSCAR file:
```
Cs3Li2AcI9
1.0
8.617 0.000 0.000
-4.309 7.463 0.000
0.000 0.000 10.806
Cs Li Ac I
3 2 1 9
Direct
0.000 0.000 0.000
0.333 0.667 0.692
0.667 0.333 0.308
0.333 0.667 0.139
0.667 0.333 0.861
0.000 0.000 0.500
0.000 0.500 0.000
0.174 0.348 0.322
0.174 0.826 0.322
0.348 0.174 0.678
0.500 0.000 0.000
0.500 0.500 0.000
0.652 0.826 0.322
0.826 0.174 0.678
0.826 0.652 0.678
```

calculated volume: 46.33 Å³ per atom
magnetic moment: 0.002 μB/f.u.
space group: No. 164
formation energy from raw total energies: -19.561 eV per formula unit



A plane-wave DFT calculation with PBE-GGA was carried out for Ce2ErWN5 after structural relaxation.

POSCAR file:
```
Ce2ErWN5
1.0
6.626 0.000 0.000
0.000 6.626 0.000
0.000 0.000 5.858
Ce Er W N
4 2 2 10
Direct
0.169 0.331 0.000
0.331 0.831 0.000
0.669 0.169 0.000
0.831 0.669 0.000
0.000 0.000 0.500
0.500 0.500 0.500
0.000 0.500 0.500
0.500 0.000 0.500
0.000 0.000 0.000
0.149 0.649 0.266
0.149 0.649 0.734
0.351 0.149 0.266
0.351 0.149 0.734
0.500 0.500 0.000
0.649 0.851 0.266
0.649 0.851 0.734
0.851 0.351 0.266
0.851 0.351 0.734
```

calculated volume: 14.29 Å³ per atom
magnetic moment: 0.000 μB/f.u.
space group: No. 127
formation energy from raw total energies: -8.594 eV per formula unit



A plane-wave DFT calculation with PBE-GGA was carried out for LiFeRePt2 after structural relaxation.

POSCAR file:
```
LiFeRePt2
1.0
4.695 0.000 0.000
0.000 4.695 0.000
0.000 0.000 4.319
Li Fe Re Pt
1 1 1 2
Direct
0.000 0.000 0.000
0.500 0.500 0.500
0.500 0.500 0.000
0.000 0.500 0.500
0.500 0.000 0.500
```

calculated volume: 19.04 Å³ per atom
magnetic moment: 3.461 μB/f.u.
space group: No. 123
energy of formation: 0.971 eV/atom



A plane-wave DFT calculation with PBE-GGA was carried out for LaIr2Se after structural relaxation.

POSCAR file:
```
LaIr2Se
1.0
-2.449 2.449 8.101
2.449 -2.449 8.101
2.449 2.449 -8.101
La Ir Se
2 4 2
Direct
0.000 0.000 0.000
0.750 0.250 0.500
0.293 0.625 0.168
0.375 0.543 0.668
0.457 0.125 0.832
0.875 0.707 0.332
0.250 0.750 0.500
0.500 0.500 0.000
```

calculated volume: 24.29 Å³ per atom
magnetic moment: 0.000 μB/f.u.
space group: No. 122
formation energy from raw total energies: -1.454 eV per formula unit



A plane-wave DFT calculation with PBE-GGA was carried out for Cu2ReHRh after structural relaxation.

POSCAR file:
```
Cu2ReHRh
1.0
4.734 0.000 0.000
0.000 4.734 0.000
0.000 0.000 4.638
Cu Re H Rh
2 1 1 1
Direct
0.000 0.500 0.000
0.500 0.000 0.000
0.000 0.000 0.500
0.500 0.500 0.500
0.000 0.000 0.000
```

calculated volume: 20.79 Å³ per atom
magnetic moment: 1.923 μB/f.u.
space group: No. 123
DFT total energy: -21.86 eV per formula unit